First-principles (GGA-PBE) data for KInBAu after structural relaxation, as listed in OQMD.

Results
The calculation puts the total DFT energy (no corrections) at -2.6258 eV per atom. The symmetry is F-43m, No. 216.

abc: 4.947 4.947 4.947
angles: 60.00 60.00 60.00
Positions (direct):
K: 0.000 0.000 0.000
In: 0.500 0.500 0.500
B: 0.250 0.250 0.250
Au: 0.750 0.750 0.750



First-principles (GGA-PBE) data for LaTmSi2Os after structural relaxation, as listed in OQMD.

Results
The calculation puts the total DFT energy (no corrections) at -7.0294 eV per atom. The symmetry is C2/m, No. 12. Its total moment is 0.0 μB/cell.

abc: 5.776 5.776 10.079
angles: 115.29 115.29 43.38
Positions (direct):
La: 0.196 0.196 0.101
La: 0.804 0.804 0.899
Tm: 0.003 0.003 0.330
Tm: 0.997 0.997 0.670
Si: 0.355 0.355 0.439
Si: 0.491 0.491 0.863
Si: 0.509 0.509 0.137
Si: 0.645 0.645 0.561
Os: 0.266 0.266 0.622
Os: 0.734 0.734 0.378



First-principles (GGA-PBE) data for NdZr2 after structural relaxation, as listed in OQMD.

Results
The value obtained for the calculated formation energy is 0.09 eV/atom. The calculation puts the total DFT energy (no corrections) at -7.1943 eV per atom. The symmetry is Cmcm, No. 63. Its total moment is 0.0 μB/cell.

abc: 9.206 9.206 5.358
angles: 90.00 90.00 159.25
Positions (direct):
Nd: 0.060 0.940 0.750
Nd: 0.940 0.060 0.250
Zr: 0.275 0.725 0.250
Zr: 0.371 0.629 0.750
Zr: 0.629 0.371 0.250
Zr: 0.725 0.275 0.750



First-principles (GGA-PBE) data for DyHoU after structural relaxation, as listed in OQMD.

Results
The value obtained for the calculated formation energy is 1.28 eV/atom. The calculation puts the total DFT energy (no corrections) at -5.5437 eV per atom. The symmetry is F-43m, No. 216. Its total moment is 3.6 μB/cell.

abc: 5.247 5.247 5.247
angles: 60.00 60.00 60.00
Positions (direct):
Dy: 0.000 0.000 0.000
Ho: 0.250 0.250 0.250
U: 0.500 0.500 0.500



First-principles (GGA-PBE) data for CsPrO3 after structural relaxation, as listed in OQMD.

Results
The calculation puts the total DFT energy (no corrections) at -5.8111 eV per atom. The symmetry is R-3c, No. 167. Its total moment is 4.0 μB/cell.

abc: 6.612 6.612 6.612
angles: 60.03 60.03 60.03
Positions (direct):
Cs: 0.250 0.250 0.250
Cs: 0.750 0.750 0.750
Pr: 0.000 0.000 0.000
Pr: 0.500 0.500 0.500
O: 0.240 0.750 0.260
O: 0.250 0.740 0.760
O: 0.260 0.240 0.750
O: 0.740 0.760 0.250
O: 0.750 0.260 0.240
O: 0.760 0.250 0.740



First-principles (GGA-PBE) data for BeCoGeMo after structural relaxation, as listed in OQMD.

Results
The calculation puts the total DFT energy (no corrections) at -6.3533 eV per atom. The symmetry is F-43m, No. 216. Its total moment is 2.3 μB/cell.

abc: 4.127 4.127 4.127
angles: 60.00 60.00 60.00
Positions (direct):
Be: 0.000 0.000 0.000
Co: 0.500 0.500 0.500
Ge: 0.250 0.250 0.250
Mo: 0.750 0.750 0.750



First-principles (GGA-PBE) data for Li4GaNi2Ge after structural relaxation, as listed in OQMD.

Results
The calculation puts the total DFT energy (no corrections) at -3.6340 eV per atom. The symmetry is P-4m2, No. 115. Its total moment is 0.0 μB/cell.

abc: 4.122 4.122 5.812
angles: 90.00 90.00 90.00
Positions (direct):
Li: 0.000 0.000 0.000
Li: 0.000 0.500 0.249
Li: 0.500 0.000 0.751
Li: 0.500 0.500 0.500
Ga: 0.000 0.000 0.500
Ni: 0.000 0.500 0.756
Ni: 0.500 0.000 0.244
Ge: 0.500 0.500 0.000



First-principles (GGA-PBE) data for ScTaNO after structural relaxation, as listed in OQMD.

Results
The calculation puts the total DFT energy (no corrections) at -9.5287 eV per atom. The symmetry is P4/nmm, No. 129. Its total moment is 0.0 μB/cell.

abc: 3.923 3.923 7.314
angles: 90.00 90.00 90.00
Positions (direct):
Sc: 0.250 0.250 0.112
Sc: 0.750 0.750 0.888
Ta: 0.250 0.750 0.500
Ta: 0.750 0.250 0.500
N: 0.250 0.250 0.601
N: 0.750 0.750 0.399
O: 0.250 0.750 0.000
O: 0.750 0.250 0.000



First-principles (GGA-PBE) data for RbCo2S2 after structural relaxation, as listed in OQMD.

Results
The calculation puts the total DFT energy (no corrections) at -5.2747 eV per atom. The symmetry is I4/mmm, No. 139. Its total moment is 0.0 μB/cell.

abc: 7.110 7.110 7.110
angles: 149.39 149.39 43.83
Positions (direct):
Rb: 0.000 0.000 0.000
Co: 0.250 0.750 0.500
Co: 0.750 0.250 0.500
S: 0.340 0.340 0.000
S: 0.660 0.660 0.000



First-principles (GGA-PBE) data for BaNaCoMo after structural relaxation, as listed in OQMD.

Results
The calculation puts the total DFT energy (no corrections) at -4.0977 eV per atom. The symmetry is F-43m, No. 216. Its total moment is 4.2 μB/cell.

abc: 5.052 5.052 5.052
angles: 60.00 60.00 60.00
Positions (direct):
Ba: 0.000 0.000 0.000
Na: 0.750 0.750 0.750
Co: 0.250 0.250 0.250
Mo: 0.500 0.500 0.500



First-principles (GGA-PBE) data for SrAl2Ga2Ir after structural relaxation, as listed in OQMD.

Results
The calculation puts the total DFT energy (no corrections) at -4.5207 eV per atom. The symmetry is Pmma, No. 51. Its total moment is 0.0 μB/cell.

abc: 7.941 4.140 7.286
angles: 90.00 90.00 90.00
Positions (direct):
Sr: 0.250 0.000 0.118
Sr: 0.750 0.000 0.882
Al: 0.073 0.500 0.795
Al: 0.427 0.500 0.795
Al: 0.573 0.500 0.205
Al: 0.927 0.500 0.205
Ga: 0.000 0.000 0.500
Ga: 0.250 0.500 0.439
Ga: 0.500 0.000 0.500
Ga: 0.750 0.500 0.561
Ir: 0.250 0.000 0.689
Ir: 0.750 0.000 0.311



First-principles (GGA-PBE) data for Ag4IBr3 after structural relaxation, as listed in OQMD.

Results
The calculation puts the total DFT energy (no corrections) at -2.4754 eV per atom. The symmetry is Cmm2, No. 35.

abc: 4.335 4.335 12.806
angles: 90.00 90.00 90.38
Positions (direct):
Ag: 0.249 0.249 0.491
Ag: 0.250 0.750 0.000
Ag: 0.750 0.250 0.000
Ag: 0.751 0.751 0.491
I: 0.500 0.500 0.659
Br: 0.000 0.000 0.334
Br: 0.000 0.000 0.845
Br: 0.500 0.500 0.154



First-principles (GGA-PBE) data for Tm2PICl after structural relaxation, as listed in OQMD.

Results
The calculation puts the total DFT energy (no corrections) at -5.2500 eV per atom. The symmetry is P3m1, No. 156. Its total moment is 0.0 μB/cell.

abc: 3.967 3.967 10.665
angles: 90.00 90.00 120.00
Positions (direct):
Tm: 0.000 0.000 0.000
Tm: 0.333 0.667 0.723
P: 0.667 0.333 0.861
I: 0.333 0.667 0.192
Cl: 0.000 0.000 0.573



First-principles (GGA-PBE) data for LuTlCdCo after structural relaxation, as listed in OQMD.

Results
The calculation puts the total DFT energy (no corrections) at -3.5959 eV per atom. The symmetry is F-43m, No. 216. Its total moment is 1.1 μB/cell.

abc: 4.835 4.835 4.835
angles: 60.00 60.00 60.00
Positions (direct):
Lu: 0.000 0.000 0.000
Tl: 0.500 0.500 0.500
Cd: 0.250 0.250 0.250
Co: 0.750 0.750 0.750



First-principles (GGA-PBE) data for BeTlCuTc after structural relaxation, as listed in OQMD.

Results
The calculation puts the total DFT energy (no corrections) at -4.4556 eV per atom. The symmetry is F-43m, No. 216. Its total moment is 0.0 μB/cell.

abc: 4.315 4.315 4.315
angles: 60.00 60.00 60.00
Positions (direct):
Be: 0.000 0.000 0.000
Tl: 0.250 0.250 0.250
Cu: 0.500 0.500 0.500
Tc: 0.750 0.750 0.750



First-principles (GGA-PBE) data for LuTcB after structural relaxation, as listed in OQMD.

Results
The calculation puts the total DFT energy (no corrections) at -7.1754 eV per atom. The symmetry is F-43m, No. 216. Its total moment is 0.0 μB/cell.

abc: 4.036 4.036 4.036
angles: 60.00 60.00 60.00
Positions (direct):
Lu: 0.000 0.000 0.000
Tc: 0.500 0.500 0.500
B: 0.250 0.250 0.250



First-principles (GGA-PBE) data for AcHoB after structural relaxation, as listed in OQMD.

Results
The calculation puts the total DFT energy (no corrections) at -4.8139 eV per atom. The symmetry is F-43m, No. 216. Its total moment is 0.3 μB/cell.

abc: 4.766 4.766 4.766
angles: 60.00 60.00 60.00
Positions (direct):
Ac: 0.000 0.000 0.000
Ho: 0.500 0.500 0.500
B: 0.250 0.250 0.250



First-principles (GGA-PBE) data for Ba2Zn2TeSeO2 after structural relaxation, as listed in OQMD.

Results
The calculation puts the total DFT energy (no corrections) at -4.5421 eV per atom. The symmetry is P3m1, No. 156.

abc: 4.266 4.266 12.572
angles: 90.00 90.00 120.00
Positions (direct):
Ba: 0.000 0.000 0.000
Ba: 0.333 0.667 0.484
Zn: 0.667 0.333 0.212
Zn: 0.667 0.333 0.698
Te: 0.333 0.667 0.782
Se: 0.000 0.000 0.280
O: 0.667 0.333 0.060
O: 0.667 0.333 0.545



First-principles (GGA-PBE) data for LiLa2OsS6 after structural relaxation, as listed in OQMD.

Results
The calculation puts the total DFT energy (no corrections) at -6.0397 eV per atom. The symmetry is P2_1/c, No. 14. Its total moment is 3.2 μB/cell.

abc: 6.338 7.076 11.178
angles: 90.00 124.40 90.00
Positions (direct):
Li: 0.000 0.000 0.000
Li: 0.000 0.500 0.500
La: 0.293 0.105 0.751
La: 0.293 0.395 0.251
La: 0.707 0.605 0.749
La: 0.707 0.895 0.249
Os: 0.500 0.000 0.500
Os: 0.500 0.500 0.000
S: 0.153 0.011 0.254
S: 0.153 0.489 0.754
S: 0.232 0.678 0.049
S: 0.232 0.822 0.549
S: 0.379 0.201 0.046
S: 0.379 0.299 0.546
S: 0.621 0.701 0.454
S: 0.621 0.799 0.954
S: 0.768 0.178 0.451
S: 0.768 0.322 0.951
S: 0.847 0.511 0.246
S: 0.847 0.989 0.746



First-principles (GGA-PBE) data for SmMg8Zn4 after structural relaxation, as listed in OQMD.

Results
The calculation puts the total DFT energy (no corrections) at -1.7253 eV per atom. The symmetry is I4/mmm, No. 139. Its total moment is 0.0 μB/cell.

abc: 7.436 7.436 7.436
angles: 99.12 99.12 133.07
Positions (direct):
Sm: 0.000 0.000 0.000
Mg: 0.000 0.000 0.500
Mg: 0.000 0.500 0.000
Mg: 0.273 0.500 0.773
Mg: 0.500 0.000 0.000
Mg: 0.500 0.273 0.773
Mg: 0.500 0.500 0.500
Mg: 0.500 0.727 0.227
Mg: 0.727 0.500 0.227
Zn: 0.000 0.352 0.352
Zn: 0.000 0.648 0.648
Zn: 0.352 0.000 0.352
Zn: 0.648 0.000 0.648



First-principles (GGA-PBE) data for Tb2Si2O7 after structural relaxation, as listed in OQMD.

Results
The calculation puts the total DFT energy (no corrections) at -8.1778 eV per atom. The symmetry is P4_1, No. 76. Its total moment is 0.0 μB/cell.

abc: 6.604 6.604 24.072
angles: 90.00 90.00 90.00
Positions (direct):
Tb: 0.017 0.655 0.000
Tb: 0.152 0.589 0.356
Tb: 0.228 0.286 0.104
Tb: 0.239 0.361 0.741
Tb: 0.286 0.772 0.854
Tb: 0.345 0.017 0.250
Tb: 0.361 0.761 0.491
Tb: 0.411 0.152 0.606
Tb: 0.589 0.848 0.106
Tb: 0.639 0.239 0.991
Tb: 0.655 0.983 0.750
Tb: 0.714 0.228 0.354
Tb: 0.761 0.639 0.241
Tb: 0.772 0.714 0.604
Tb: 0.848 0.411 0.856
Tb: 0.983 0.345 0.500
Si: 0.106 0.176 0.967
Si: 0.133 0.769 0.120
Si: 0.176 0.894 0.717
Si: 0.231 0.133 0.370
Si: 0.234 0.515 0.224
Si: 0.241 0.639 0.616
Si: 0.361 0.241 0.866
Si: 0.485 0.234 0.474
Si: 0.515 0.766 0.974
Si: 0.639 0.759 0.366
Si: 0.759 0.361 0.116
Si: 0.766 0.485 0.724
Si: 0.769 0.867 0.870
Si: 0.824 0.106 0.217
Si: 0.867 0.231 0.620
Si: 0.894 0.824 0.467
O: 0.001 0.960 0.239
O: 0.040 0.001 0.489
O: 0.041 0.273 0.389
O: 0.051 0.644 0.446
O: 0.060 0.498 0.271
O: 0.074 0.173 0.589
O: 0.081 0.607 0.565
O: 0.090 0.614 0.173
O: 0.097 0.776 0.659
O: 0.173 0.926 0.339
O: 0.224 0.097 0.909
O: 0.224 0.425 0.841
O: 0.273 0.959 0.139
O: 0.274 0.276 0.008
O: 0.276 0.726 0.758
O: 0.278 0.633 0.079
O: 0.305 0.684 0.948
O: 0.316 0.305 0.198
O: 0.330 0.446 0.650
O: 0.332 0.407 0.496
O: 0.356 0.051 0.696
O: 0.367 0.278 0.329
O: 0.386 0.090 0.423
O: 0.393 0.081 0.815
O: 0.407 0.668 0.246
O: 0.425 0.776 0.591
O: 0.446 0.670 0.400
O: 0.498 0.940 0.021
O: 0.502 0.060 0.521
O: 0.554 0.330 0.900
O: 0.575 0.224 0.091
O: 0.593 0.332 0.746
O: 0.607 0.919 0.315
O: 0.614 0.910 0.923
O: 0.633 0.722 0.829
O: 0.644 0.949 0.196
O: 0.668 0.593 0.996
O: 0.670 0.554 0.150
O: 0.684 0.695 0.698
O: 0.695 0.316 0.448
O: 0.722 0.367 0.579
O: 0.724 0.274 0.258
O: 0.726 0.724 0.508
O: 0.727 0.041 0.639
O: 0.776 0.575 0.341
O: 0.776 0.903 0.409
O: 0.827 0.074 0.839
O: 0.903 0.224 0.159
O: 0.910 0.386 0.673
O: 0.919 0.393 0.065
O: 0.926 0.827 0.089
O: 0.940 0.502 0.771
O: 0.949 0.356 0.946
O: 0.959 0.727 0.889
O: 0.960 0.999 0.989
O: 0.999 0.040 0.739